a.
{"formula": "Be2TlSi", "functional": "PBE", "state": "optimized geometry", "vol_a3_per_atom": 15.46, "spacegroup": "I4/mmm, No. 139", "n_ef_per_ev_cell": 1.07, "lattice_angstrom": [[-2.059, 2.059, 3.646], [2.059, -2.059, 3.646], [2.059, 2.059, -3.646]], "species": ["Be", "Be", "Tl", "Si"], "frac_coords": [[0.250, 0.750, 0.500], [0.750, 0.250, 0.500], [0.000, 0.000, 0.000], [0.500, 0.500, 0.000]]}

b.
{"formula": "Be2TlSi", "functional": "PBE", "state": "optimized geometry", "vol_a3_per_atom": 18.11, "spacegroup": "C2/m, No. 12", "n_ef_per_ev_cell": 1.24, "lattice_angstrom": [[3.265, -1.882, 0.000], [3.265, 1.882, 0.000], [-1.758, 0.000, 5.896]], "species": ["Be", "Be", "Tl", "Si"], "frac_coords": [[0.183, 0.183, 0.057], [0.817, 0.817, 0.943], [0.000, 0.000, 0.500], [0.500, 0.500, 0.000]]}

The winner here is b, beating the second structure by 48.1 kJ/mol of atoms.

a.
{"formula": "BeTlSi2", "functional": "PBE", "state": "optimized geometry", "vol_a3_per_atom": 20.19, "spacegroup": "Imm2, No. 44", "n_ef_per_ev_cell": 1.44, "lattice_angstrom": [[-1.820, 2.980, 3.722], [1.820, -2.980, 3.722], [1.820, 2.980, -3.722]], "species": ["Be", "Tl", "Si", "Si"], "frac_coords": [[0.000, 0.000, 0.000], [0.716, 0.216, 0.500], [0.170, 0.670, 0.500], [0.374, 0.374, 0.000]]}

b.
{"formula": "BeTlSi2", "functional": "PBE", "state": "optimized geometry", "vol_a3_per_atom": 18.88, "spacegroup": "Pm, No. 6", "n_ef_per_ev_cell": 1.13, "lattice_angstrom": [[3.508, 0.000, 0.000], [0.000, 3.492, 0.000], [-1.732, 0.000, 6.165]], "species": ["Be", "Tl", "Si", "Si"], "frac_coords": [[0.000, 0.000, 0.000], [0.635, 0.500, 0.261], [0.379, 0.000, 0.757], [0.869, 0.500, 0.733]]}

The winner here is b, beating the second structure by 23.7 kJ/mol of atoms.

a.
{"formula": "BeTlSi2", "functional": "PBE", "state": "optimized geometry", "vol_a3_per_atom": 17.19, "spacegroup": "Immm, No. 71", "n_ef_per_ev_cell": 1.48, "lattice_angstrom": [[-1.417, 2.401, 5.052], [1.417, -2.401, 5.052], [1.417, 2.401, -5.052]], "species": ["Be", "Tl", "Si", "Si"], "frac_coords": [[0.000, 0.000, 0.000], [0.500, 0.500, 0.000], [0.203, 0.703, 0.500], [0.797, 0.297, 0.500]]}

b.
{"formula": "BeTlSi2", "functional": "PBE", "state": "optimized geometry", "vol_a3_per_atom": 17.79, "spacegroup": "P4/mmm, No. 123", "n_ef_per_ev_cell": 1.50, "lattice_angstrom": [[3.583, 0.000, 0.000], [0.000, 3.583, 0.000], [0.000, 0.000, 5.543]], "species": ["Be", "Tl", "Si", "Si"], "frac_coords": [[0.000, 0.000, 0.000], [0.500, 0.500, 0.000], [0.000, 0.000, 0.500], [0.500, 0.500, 0.500]]}

c.
{"formula": "BeTlSi2", "functional": "PBE", "state": "optimized geometry", "vol_a3_per_atom": 19.48, "spacegroup": "Cm, No. 8", "n_ef_per_ev_cell": 1.36, "lattice_angstrom": [[3.600, -1.827, 0.000], [3.600, 1.827, 0.000], [-2.320, 0.000, 5.922]], "species": ["Be", "Tl", "Si", "Si"], "frac_coords": [[0.000, 0.000, 0.000], [0.704, 0.704, 0.419], [0.310, 0.310, 0.006], [0.512, 0.512, 0.779]]}

The winner here is c, beating the second structure by 22.2 kJ/mol of atoms.